PBE PmNd4Pu3S8, relaxed; density of states at the Fermi level = 25.75 states/eV/cell; E = -8.186 eV per atom; uncorrected formation energy = -1946 meV per atom; volume = 368.18 Å³/cell
1.0
8.0266 0.0000 0.0000
0.0000 8.0637 0.0209
-4.0133 -4.0096 5.6781
S Pu Nd Pm
8 3 4 1
direct
0.7463 0.7389 0.4926 S
0.7509 0.2578 0.5018 S
0.2560 0.2578 0.0069 S
0.2537 0.2611 0.5074 S
0.2491 0.7422 0.9931 S
0.7509 0.2578 0.0069 S
0.7440 0.7422 0.9931 S
0.2491 0.7422 0.4982 S
0.5000 0.5000 0.5000 Pu
0.5000 0.5000 0.0000 Pu
0.0000 0.5000 0.5000 Pu
0.0000 0.0000 0.5000 Nd
0.0000 0.0000 0.0000 Nd
0.5000 0.0000 0.0000 Nd
0.5000 0.0000 0.5000 Nd
0.0000 0.5000 0.0000 Pm